(1)
The following is a DFT calculation (meta-GGA SCAN) of Sc3Ag4 at its PBEsol-relaxed geometry.

a = 3.4937 Å, b = 3.4937 Å, c = 11.0752 Å
α = 99.07°, β = 99.07°, γ = 90.00°
Site moments in Bohr magnetons follow the coordinates.
Atoms (fractional coordinates):
Ag (0.8628, 0.8628, 0.7255)  0.00
Sc (0.7038, 0.7038, 0.4075)  0.36
Sc (0.0000, 0.0000, 0.0000)  -0.03
Ag (0.1372, 0.1372, 0.2745)  0.00
Ag (0.5680, 0.5680, 0.1359)  -0.01
Ag (0.4320, 0.4320, 0.8641)  -0.01
Sc (0.2962, 0.2962, 0.5925)  0.36

Calculated values
Mass density (g/cm³): 7.1
Formation energy (eV per atom): -0.305
Crystal system: tetragonal


(2)
The following is a DFT calculation (meta-GGA SCAN) of ScAgSe2 at its PBEsol-relaxed geometry.

a = 3.8977 Å, b = 3.9000 Å, c = 6.7655 Å
α = 106.65°, β = 90.00°, γ = 119.98°
Atoms (fractional coordinates):
Se (0.2451, 0.4901, 0.2366)
Sc (0.5000, 0.0000, 0.0000)
Ag (0.0000, 0.0000, 0.5000)
Se (0.7549, 0.5099, 0.7634)

Calculated values
Uncorrected formation energy (eV per atom): -1.197
Mass density (g/cm³): 6.1
Crystal system: monoclinic


(3)
The following is a DFT calculation (meta-GGA SCAN) of ScAgSe2 at its PBEsol-relaxed geometry.

a = 3.7887 Å, b = 3.7887 Å, c = 8.3158 Å
α = 76.83°, β = 76.83°, γ = 60.00°
Atoms (fractional coordinates):
Se (0.8960, 0.8960, 0.3121)
Sc (0.0000, 0.0000, 0.0000)
Ag (0.5000, 0.5000, 0.5000)
Se (0.1040, 0.1040, 0.6879)

Calculated values
Uncorrected formation energy (eV per atom): -0.167
Mass density (g/cm³): 5.2
Crystal system: trigonal


(4)
The following is a DFT calculation (meta-GGA SCAN) of ScAgSe2 at its PBEsol-relaxed geometry.

a = 3.8523 Å, b = 3.8523 Å, c = 6.4562 Å
α = 90.00°, β = 90.00°, γ = 120.00°
Atoms (fractional coordinates):
Ag (0.0000, 0.0000, 0.5000)
Se (0.6667, 0.3333, 0.7619)
Se (0.3333, 0.6667, 0.2381)
Sc (0.0000, 0.0000, 0.0000)

Calculated values
Uncorrected formation energy (eV per atom): -1.235
Mass density (g/cm³): 6.2
Crystal system: trigonal


(5)
The following is a DFT calculation (meta-GGA SCAN) of ScAgSe2 at its PBEsol-relaxed geometry.

a = 4.1409 Å, b = 4.1409 Å, c = 6.8614 Å
α = 72.44°, β = 72.44°, γ = 60.00°
Atoms (fractional coordinates):
Se (0.7939, 0.7939, 0.6182)
Ag (0.4856, 0.4856, 0.5433)
Sc (0.2449, 0.2449, 0.2654)
Se (0.9756, 0.9756, 0.0731)

Calculated values
Uncorrected formation energy (eV per atom): -0.848
Mass density (g/cm³): 5.4
Crystal system: trigonal


(6)
The following is a DFT calculation (meta-GGA SCAN) of ScAg2Se at its PBEsol-relaxed geometry.

a = 3.5008 Å, b = 3.5008 Å, c = 6.2380 Å
α = 90.00°, β = 90.00°, γ = 90.00°
Atoms (fractional coordinates):
Sc (0.0000, 0.0000, 0.5218)
Ag (0.5000, 0.5000, 0.2353)
Ag (0.0000, 0.0000, 0.0487)
Se (0.5000, 0.5000, 0.6941)

Calculated values
Uncorrected formation energy (eV per atom): -0.593
Mass density (g/cm³): 7.4
Crystal system: tetragonal


Which of these has the highest mass density? ScAg2Se


Among the records above, which one has the lowest mass density? number 3


Among the records above, which one has the lowest mass density? number 3